Model i:
## BaTeW (GGA-PBE)

Data for an optimized crystal structure of BaTeW.

Cell: 7.306 7.306 7.306 Å, 90.00 90.00 90.00°
Space group F-43m (No. 216)
One atom of each set of equivalent atoms:
1 Ba 0.000 0.000 0.000 x4
2 Te 0.000 0.000 0.500 x4
3 W 0.250 0.250 0.250 x4

---

Model ii:
## BaTeW (GGA-PBE)

Data for an optimized crystal structure of BaTeW.

Cell: 7.943 7.943 7.943 Å, 90.00 90.00 90.00°
Space group F-43m (No. 216)
One atom of each set of equivalent atoms:
1 Ba 0.000 0.000 0.000 x4
2 Te 0.250 0.250 0.750 x4
3 W 0.250 0.250 0.250 x4

---

Name the most stable of them. model i.

---

Model i:
## BaTmTl (GGA-PBE)

Data for an optimized crystal structure of BaTmTl.

Cell: 7.844 7.844 7.844 Å, 90.00 90.00 90.00°
Space group F-43m (No. 216)
One atom of each set of equivalent atoms:
1 Ba 0.000 0.000 0.000 x4
2 Tm 0.000 0.000 0.500 x4
3 Tl 0.250 0.250 0.250 x4

---

Model ii:
## BaTmTl (GGA-PBE)

Data for an optimized crystal structure of BaTmTl.

Cell: 7.781 7.781 7.781 Å, 90.00 90.00 90.00°
Space group F-43m (No. 216)
One atom of each set of equivalent atoms:
1 Ba 0.000 0.000 0.000 x4
2 Tm 0.250 0.250 0.250 x4
3 Tl 0.250 0.250 0.750 x4

---

Name the most stable of them. model i.

---

Model i:
## BaTm (GGA-PBE)

Data for an optimized crystal structure of BaTm.

Cell: 3.8332 3.8332 6.4279 Å, 90.00 90.00 120.00°
Space group P-6m2 (No. 187)
One atom of each set of equivalent atoms:
1 Ba 0.0000 0.0000 0.0000 x1
2 Tm 0.6667 0.3333 0.5000 x1

---

Model ii:
## BaTm (GGA-PBE)

Data for an optimized crystal structure of BaTm.

Cell: 7.778 7.778 7.778 Å, 90.00 90.00 90.00°
Space group F-43m (No. 216)
One atom of each set of equivalent atoms:
1 Ba 0.000 0.000 0.000 x4
2 Tm 0.250 0.250 0.750 x4

---

Name the most stable of them. model i.

---

Model i:
## BaTmW (GGA-PBE)

Data for an optimized crystal structure of BaTmW.

Cell: 7.241 7.241 7.241 Å, 90.00 90.00 90.00°
Space group F-43m (No. 216)
One atom of each set of equivalent atoms:
1 Ba 0.000 0.000 0.000 x4
2 Tm 0.250 0.250 0.750 x4
3 W 0.250 0.250 0.250 x4

---

Model ii:
## BaTmW (GGA-PBE)

Data for an optimized crystal structure of BaTmW.

Cell: 7.327 7.327 7.327 Å, 90.00 90.00 90.00°
Space group F-43m (No. 216)
One atom of each set of equivalent atoms:
1 Ba 0.000 0.000 0.000 x4
2 Tm 0.250 0.250 0.250 x4
3 W 0.000 0.000 0.500 x4

---

Name the most stable of them. model ii.

---

Model i:
## BaTmZr (GGA-PBE)

Data for an optimized crystal structure of BaTmZr.

Cell: 7.767 7.767 7.767 Å, 90.00 90.00 90.00°
Space group F-43m (No. 216)
One atom of each set of equivalent atoms:
1 Ba 0.000 0.000 0.000 x4
2 Tm 0.000 0.000 0.500 x4
3 Zr 0.250 0.250 0.250 x4

---

Model ii:
## BaTmZr (GGA-PBE)

Data for an optimized crystal structure of BaTmZr.

Cell: 7.502 7.502 7.502 Å, 90.00 90.00 90.00°
Space group F-43m (No. 216)
One atom of each set of equivalent atoms:
1 Ba 0.000 0.000 0.000 x4
2 Tm 0.250 0.250 0.750 x4
3 Zr 0.250 0.250 0.250 x4

---

Name the most stable of them. model i.

---

Model i:
## BaU (GGA-PBE)

Data for an optimized crystal structure of BaU.

Cell: 6.891 6.891 6.891 Å, 90.00 90.00 90.00°
Space group F-43m (No. 216)
One atom of each set of equivalent atoms:
1 Ba 0.000 0.000 0.000 x4
2 U 0.250 0.250 0.750 x4

---

Model ii:
## BaU (GGA-PBE)

Data for an optimized crystal structure of BaU.

Cell: 3.4121 3.4121 6.5906 Å, 90.00 90.00 120.00°
Space group P-6m2 (No. 187)
One atom of each set of equivalent atoms:
1 Ba 0.0000 0.0000 0.0000 x1
2 U 0.6667 0.3333 0.5000 x1

---

Model iii:
## BaU (GGA-PBE)

Data for an optimized crystal structure of BaU.

Cell: 6.663 6.663 6.663 Å, 90.00 90.00 90.00°
Space group Fm-3m (No. 225)
One atom of each set of equivalent atoms:
1 Ba 0.000 0.000 0.000 x4
2 U 0.000 0.000 0.500 x4

---

Name the most stable of them. model ii.

---

Model i:
## BaW (GGA-PBE)

Data for an optimized crystal structure of BaW.

Cell: 6.822 6.822 6.822 Å, 90.00 90.00 90.00°
Space group Fm-3m (No. 225)
One atom of each set of equivalent atoms:
1 Ba 0.000 0.000 0.000 x4
2 W 0.000 0.000 0.500 x4

---

Model ii:
## BaW (GGA-PBE)

Data for an optimized crystal structure of BaW.

Cell: 3.1238 3.1238 5.9402 Å, 90.00 90.00 120.00°
Space group P-6m2 (No. 187)
One atom of each set of equivalent atoms:
1 Ba 0.0000 0.0000 0.0000 x1
2 W 0.6667 0.3333 0.5000 x1

---

Name the most stable of them. model ii.

---

Model i:
## Ba3Zn4 (GGA-PBE)

Data for an optimized crystal structure of Ba3Zn4.

Cell: 10.072 5.425 10.078 Å, 90.00 119.97 90.00°
Space group P2_1/m (No. 11)
One atom of each set of equivalent atoms:
1 Ba 0.046 0.250 0.315 x2
2 Ba 0.270 0.250 0.954 x2
3 Ba 0.315 0.750 0.269 x2
4 Zn 0.176 0.750 0.523 x2
5 Zn 0.333 0.250 0.666 x2
6 Zn 0.346 0.750 0.823 x2
7 Zn 0.476 0.750 0.653 x2

---

Model ii:
## Ba3Zn4 (GGA-PBE)

Data for an optimized crystal structure of Ba3Zn4.

Cell: 10.439 4.775 10.441 Å, 90.00 119.96 90.00°
Space group Pm (No. 6)
One atom of each set of equivalent atoms:
1 Ba 0.000 0.000 0.000 x1
2 Ba 0.094 0.500 0.679 x1
3 Ba 0.265 0.000 0.492 x1
4 Ba 0.359 0.500 0.171 x1
5 Ba 0.585 0.500 0.906 x1
6 Ba 0.773 0.000 0.265 x1
7 Zn 0.013 0.500 0.252 x1
8 Zn 0.346 0.000 0.919 x1
9 Zn 0.516 0.500 0.552 x1
10 Zn 0.551 0.000 0.423 x1
11 Zn 0.645 0.000 0.714 x1
12 Zn 0.713 0.500 0.457 x1
13 Zn 0.808 0.500 0.748 x1
14 Zn 0.842 0.000 0.619 x1

---

Name the most stable of them. model ii.

---

Model i:
## BaZr (GGA-PBE)

Data for an optimized crystal structure of BaZr.

Cell: 5.848 7.394 13.256 Å, 90.00 90.00 90.00°
Space group Pmmn (No. 59, origin choice 2)
One atom of each set of equivalent atoms:
1 Ba 0.250 0.002 0.093 x4
2 Ba 0.250 0.250 0.357 x2
3 Ba 0.250 0.250 0.781 x2
4 Zr 0.250 0.534 0.571 x4
5 Zr 0.250 0.750 0.388 x2
6 Zr 0.250 0.750 0.775 x2

---

Model ii:
## BaZr (GGA-PBE)

Data for an optimized crystal structure of BaZr.

Cell: 8.907 5.930 5.460 Å, 90.00 90.00 90.00°
Space group Pbcm (No. 57)
One atom of each set of equivalent atoms:
1 Ba 0.167 0.034 0.250 x4
2 Zr 0.435 0.600 0.250 x4

---

Name the most stable of them. model ii.

---

Model i:
## BaZr (GGA-PBE)

Data for an optimized crystal structure of BaZr.

Cell: 5.381 8.818 6.260 Å, 90.00 90.00 90.00°
Space group Pmm2 (No. 25)
One atom of each set of equivalent atoms:
1 Ba 0.000 0.000 0.000 x1
2 Ba 0.000 0.291 0.546 x2
3 Ba 0.500 0.000 0.434 x1
4 Zr 0.000 0.500 0.073 x1
5 Zr 0.500 0.336 0.942 x2
6 Zr 0.500 0.500 0.351 x1

---

Model ii:
## BaZr (GGA-PBE)

Data for an optimized crystal structure of BaZr.

Cell: 9.568 5.228 10.427 Å, 90.00 109.16 90.00°
Space group P2_1/m (No. 11)
One atom of each set of equivalent atoms:
1 Ba 0.031 0.250 0.354 x2
2 Ba 0.185 0.750 0.118 x2
3 Ba 0.327 0.250 0.846 x2
4 Zr 0.286 0.750 0.506 x2
5 Zr 0.431 0.250 0.288 x2
6 Zr 0.447 0.250 0.572 x2

---

Name the most stable of them. model ii.

---

Model i:
## BaZr (GGA-PBE)

Data for an optimized crystal structure of BaZr.

Cell: 5.426 22.337 6.357 Å, 90.00 90.00 90.00°
Space group Amm2 (No. 38)
One atom of each set of equivalent atoms:
1 Ba 0.000 0.000 0.000 x2
2 Ba 0.000 0.177 0.130 x4
3 Ba 0.500 0.169 0.656 x4
4 Zr 0.000 0.067 0.524 x4
5 Zr 0.500 0.000 0.678 x2
6 Zr 0.500 0.065 0.251 x4

---

Model ii:
## BaZr (GGA-PBE)

Data for an optimized crystal structure of BaZr.

Cell: 3.5364 3.5364 11.9316 Å, 90.00 90.00 120.00°
Space group P6_3/mmc (No. 194)
One atom of each set of equivalent atoms:
1 Ba 0.0000 0.0000 0.0000 x2
2 Zr 0.3333 0.6667 0.2500 x2

---

Name the most stable of them. model i.

---

Model i:
## BaZr (GGA-PBE)

Data for an optimized crystal structure of BaZr.

Cell: 5.524 21.228 5.836 Å, 90.00 90.00 90.00°
Space group Amm2 (No. 38)
One atom of each set of equivalent atoms:
1 Ba 0.000 0.000 0.000 x2
2 Ba 0.000 0.113 0.498 x4
3 Ba 0.500 0.116 0.057 x4
4 Zr 0.000 0.224 0.929 x4
5 Zr 0.500 0.000 0.513 x2
6 Zr 0.500 0.221 0.613 x4

---

Model ii:
## BaZr (GGA-PBE)

Data for an optimized crystal structure of BaZr.

Cell: 3.409 5.277 7.362 Å, 90.00 90.00 90.00°
Space group Pmmn (No. 59, origin choice 2)
One atom of each set of equivalent atoms:
1 Ba 0.250 0.250 0.145 x2
2 Zr 0.250 0.750 0.435 x2

---

Name the most stable of them. model i.